# Ni3SeO

Crystalline Ni3SeO at its relaxed geometry (GGA+U, Alexandria via LeMat-Bulk).

abc: 4.4666 4.4666 4.4666
angles: 90.00 90.00 90.00
With the nearest neighbours (Å) after each atom.
Positions (direct):
Ni 0.0000 0.0000 0.5000  2 Se 2.23
Ni 0.0000 0.5000 0.0000  2 Se 2.23
Ni 0.5000 0.0000 0.0000  2 Se 2.23
Se 0.0000 0.0000 0.0000  6 Ni 2.23
O 0.5000 0.5000 0.5000  12 Ni 3.16

Computed properties:
The calculation puts the offset from the most stable computed form at 690 kJ/mol of formula units. The calculated density is 5.05 Mg/m³. For the total energy, the calculation gives -1.842 eV/atom. The magnetization is 0.60 μB/atom. For the density of states at the Fermi level, the calculation gives 8.380 states/eV/f.u.